This record from the Alexandria database describes a relaxed structure of DyHfSc. The functional is GGA-PBE.

Structure (POSCAR):
```
DyHfSc
1.0
3.2731 0.0000 0.0000
0.0000 5.1953 0.0000
0.0000 -2.5976 4.4993
Hf Dy Sc
1 1 1
direct
0.1660 0.3333 0.6667
0.6666 0.6667 0.3333
0.1674 0.0000 0.0000
```

Summary:
Mass density ... 8.38 g/cm³
D(E_F) ... 5.991 states/eV per cell
Calculated volume ... 76.5 Å³/f.u.
VASP energy ... -20.43 eV/f.u.